(1)
First-principles (GGA-PBE) data for a relaxed structure of NbP3Os, as listed in Alexandria via LeMat-Bulk.

Lattice parameters (Å, degrees): 4.562 4.562 4.562 90.00 90.00 90.00
Positions (direct):
P 0.000 0.500 0.000
P 0.000 0.000 0.500
P 0.500 0.000 0.000
Nb 0.500 0.500 0.500
Os 0.000 0.000 0.000

Results
Its density of states at the Fermi level is 5.25 states/eV per cell. For the formation energy, the calculation gives 0.99 eV per atom. As for the total energy: -32.60 eV/cell. Its polymorph energy (0 for the lowest one) is 0 meV/atom.

(2)
First-principles (GGA-PBE) data for a relaxed structure of Nb4P2Os, as listed in Alexandria via LeMat-Bulk.

Lattice parameters (Å, degrees): 4.897 4.897 6.971 69.43 69.43 90.00
Positions (direct):
P 0.594 0.594 0.813
P 0.406 0.406 0.187
Nb 0.791 0.791 0.419
Nb 0.209 0.209 0.581
Nb 0.000 0.500 0.000
Nb 0.500 0.000 0.000
Os 0.000 0.000 0.000

Results
Its density of states at the Fermi level is 8.73 states/eV per cell. For the formation energy, the calculation gives 0.67 eV per atom. As for the total energy: -57.65 eV/cell.

(3)
First-principles (GGA-PBE) data for a relaxed structure of Nb3POs, as listed in Alexandria via LeMat-Bulk.

Lattice parameters (Å, degrees): 4.532 4.532 4.532 90.00 90.00 90.00
Positions (direct):
P 0.000 0.000 0.000
Nb 0.000 0.500 0.000
Nb 0.000 0.000 0.500
Nb 0.500 0.000 0.000
Os 0.500 0.500 0.500

Results
Its density of states at the Fermi level is 4.23 states/eV per cell. For the formation energy, the calculation gives 0.48 eV per atom. As for the total energy: -44.47 eV/cell. Its polymorph energy (0 for the lowest one) is 0 meV/atom.

(4)
First-principles (GGA-PBE) data for a relaxed structure of NbP2Os, as listed in Alexandria via LeMat-Bulk.

Lattice parameters (Å, degrees): 5.491 5.491 6.562 65.27 65.27 90.00
Positions (direct):
P 0.655 0.125 0.250
P 0.095 0.625 0.250
P 0.375 0.345 0.750
P 0.875 0.905 0.750
Nb 0.500 0.500 0.000
Nb 0.250 0.750 0.500
Os 0.000 0.000 0.000
Os 0.750 0.250 0.500

Results
Its density of states at the Fermi level is 6.14 states/eV per cell. For the formation energy, the calculation gives 0.01 eV per atom. As for the total energy: -64.18 eV/cell. Its polymorph energy (0 for the lowest one) is 260 meV/atom.